Record 1
DFT (PBE) results for a relaxed CdPdS crystal.

```
CdPdS
1.0
-0.866 -1.355 -3.220
1.086 -3.257 1.079
-8.397 0.530 4.048
S Cd Pd
2 2 2
Cartesian
-1.248 -0.267 0.448
-6.929 -3.815 1.459
-2.037 -2.767 -0.299
-6.140 -1.316 2.206
-4.668 -3.331 0.647
-3.509 -0.752 1.261
```

Computed properties:
space group = I4/mmm (139)
ΔE_f (raw) = -0.137 eV/atom
calculated total energy = -0.261 Ry/atom

=====

Record 2
DFT (PBE) results for a relaxed CdPd2S crystal.

```
CdPd2S
1.0
3.136 0.000 0.000
1.568 2.716 0.000
1.568 0.905 7.921
S Pd Cd
1 2 1
Cartesian
0.000 0.000 0.000
4.704 2.716 6.175
1.568 0.905 1.746
3.136 1.811 3.960
```

Computed properties:
space group = R-3m (166)
ΔE_f (raw) = -0.140 eV/atom
calculated total energy = -0.294 Ry/atom

=====

Record 3
DFT (PBE) results for a relaxed Cd2Pd5S crystal.

```
Cd2Pd5S
1.0
4.469 0.000 0.000
0.000 5.828 0.000
0.000 0.000 5.828
Cd Pd S
2 5 1
Cartesian
2.235 2.914 0.000
2.235 0.000 2.914
0.000 4.246 4.246
0.000 1.582 4.246
0.000 4.246 1.582
2.235 0.000 0.000
0.000 1.582 1.582
0.000 0.000 0.000
```

Computed properties:
space group = P4/mmm (123)
ΔE_f (raw) = -0.118 eV/atom
calculated total energy = -0.302 Ry/atom

=====

Record 4
DFT (PBE) results for a relaxed Cd2Pd2S crystal.

```
Cd2Pd2S
1.0
6.702 0.000 0.000
0.000 6.702 0.000
0.000 0.000 4.087
S Pd Cd
2 4 4
Cartesian
0.000 0.000 0.000
3.351 3.351 0.000
2.327 5.678 0.000
5.678 4.375 0.000
4.375 1.024 0.000
1.024 2.327 0.000
1.029 4.380 2.043
4.380 5.673 2.043
5.673 2.322 2.043
2.322 1.029 2.043
```

Computed properties:
space group = P4/mbm (127)
ΔE_f (raw) = -0.213 eV/atom
calculated total energy = -0.256 Ry/atom

=====

Record 5
DFT (PBE) results for a relaxed Cd2Pd8S crystal.

```
Cd2Pd8S
1.0
-4.146 -0.934 2.071
1.729 -5.343 1.058
3.699 5.109 4.301
Cd Pd S
2 8 1
Cartesian
1.660 1.075 3.640
-0.148 -2.538 3.792
-0.510 2.160 5.175
1.185 -1.028 1.740
2.524 -1.591 4.194
2.969 0.512 6.152
-1.031 0.125 3.248
0.331 -0.432 5.690
2.025 -3.623 2.254
-1.568 -2.006 1.337
3.270 4.838 4.574
```

Computed properties:
space group = Imm2 (44)
ΔE_f (raw) = -0.246 eV/atom
calculated total energy = -0.335 Ry/atom

=====

Record 6
DFT (PBE) results for a relaxed Cd2Pd4S crystal.

```
Cd2Pd4S
1.0
4.432 0.000 0.000
0.000 4.432 0.000
2.216 2.216 7.022
S Pd Cd
1 4 2
Cartesian
0.000 0.000 0.000
2.216 2.216 4.693
4.432 4.432 2.329
0.000 2.216 0.000
2.216 0.000 0.000
2.216 2.216 2.005
4.432 4.432 5.017
```

Computed properties:
space group = I4/mmm (139)
ΔE_f (raw) = -0.080 eV/atom
calculated total energy = -0.286 Ry/atom

=====

Record 7
DFT (PBE) results for a relaxed CdPd7S2 crystal.

```
CdPd7S2
1.0
3.984 0.000 -0.767
-0.148 3.981 -0.767
-0.090 -0.093 10.270
Cd Pd S
1 7 2
Cartesian
0.000 0.000 0.000
0.308 2.387 1.602
1.373 3.492 7.135
2.374 0.396 1.602
1.918 1.991 -0.767
2.906 0.949 4.368
3.439 1.501 7.135
0.841 2.939 4.368
2.545 2.641 2.491
1.202 1.247 6.246
```

Computed properties:
space group = I4/mmm (139)
ΔE_f (raw) = -0.195 eV/atom
calculated total energy = -0.349 Ry/atom

=====

Record 8
DFT (PBE) results for a relaxed CdPd2S crystal.

```
CdPd2S
1.0
-0.042 4.335 1.879
-4.724 -0.087 0.094
-2.192 -0.858 7.871
S Pd Cd
2 4 2
Cartesian
-2.383 2.124 0.986
-4.649 0.590 4.476
-1.160 2.034 2.959
-3.510 0.724 2.457
-3.922 0.941 6.653
-5.323 3.083 7.620
0.000 0.000 0.000
-2.308 2.801 5.368
```

Computed properties:
space group = I-42d (122)
ΔE_f (raw) = -0.128 eV/atom
calculated total energy = -0.293 Ry/atom

=====

Record 9
DFT (PBE) results for a relaxed CdPdSe2S crystal.

```
CdPdSe2S
1.0
-0.769 -4.240 2.292
1.984 -2.403 -3.780
4.396 0.334 2.094
S Se Pd Cd
1 2 1 1
Cartesian
0.000 0.000 0.000
2.198 0.167 1.047
-0.385 -2.120 1.146
2.805 -3.154 0.303
0.992 -1.202 -1.890
```

Computed properties:
space group = P4/mmm (123)
ΔE_f (raw) = 0.552 eV/atom
calculated total energy = -0.212 Ry/atom

=====

Record 10
DFT (PBE) results for a relaxed CdSi2PdS crystal.

```
CdSi2PdS
1.0
-1.861 3.418 2.309
-0.130 -2.848 4.111
4.123 1.469 1.148
S Si Pd Cd
1 2 1 1
Cartesian
0.000 0.000 0.000
2.062 0.735 0.574
-0.931 1.709 1.154
1.066 1.020 3.784
-0.065 -1.424 2.056
```

Computed properties:
space group = P4/mmm (123)
ΔE_f (raw) = 0.769 eV/atom
calculated total energy = -0.253 Ry/atom

=====

Record 11
DFT (PBE) results for a relaxed TaCdPdS2 crystal.

```
TaCdPdS2
1.0
4.663 0.000 0.000
0.000 5.036 0.000
0.000 0.000 4.663
S Cd Pd Ta
2 1 1 1
Cartesian
0.000 0.000 2.332
2.332 0.000 0.000
2.332 2.518 2.332
0.000 0.000 0.000
0.000 2.518 0.000
```

Computed properties:
space group = P4/mmm (123)
ΔE_f (raw) = 0.850 eV/atom
calculated total energy = -0.323 Ry/atom

=====

Record 12
DFT (PBE) results for a relaxed Tl2CdPd7S2 crystal.

```
Tl2CdPd7S2
1.0
4.017 0.003 -0.106
0.008 4.017 -0.106
1.542 1.540 13.973
Tl Cd Pd S
2 1 7 2
Cartesian
4.249 4.244 5.388
1.318 1.316 8.374
0.000 0.000 0.000
2.013 2.010 -0.106
2.288 2.285 5.622
3.279 3.275 8.139
4.075 2.065 1.920
2.070 4.073 1.920
3.497 1.488 11.841
1.492 3.496 11.841
3.461 3.457 10.516
2.106 2.103 3.246
```

Computed properties:
space group = C2/m (12)
ΔE_f (raw) = -0.234 eV/atom
calculated total energy = -0.325 Ry/atom

=====

Record 13
DFT (PBE) results for a relaxed CdSbPd3 crystal.

```
CdSbPd3
1.0
4.926 0.000 0.000
0.000 4.926 0.000
0.000 0.000 4.926
Sb Pd Cd
1 3 1
Cartesian
0.000 0.000 0.000
0.000 2.463 0.000
0.000 0.000 2.463
2.463 0.000 0.000
2.463 2.463 2.463
```

Computed properties:
space group = Pm-3m (221)
ΔE_f (raw) = 0.249 eV/atom
calculated total energy = -0.285 Ry/atom

=====

Record 14
DFT (PBE) results for a relaxed Cd2SbPd crystal.

```
Cd2SbPd
1.0
4.182 0.000 0.000
0.000 4.182 0.000
2.091 2.091 10.199
Sb Pd Cd
2 2 4
Cartesian
0.000 0.000 0.000
4.182 2.091 5.099
2.091 2.091 0.000
2.091 4.182 5.099
3.061 1.046 2.550
1.121 3.137 2.550
3.137 3.212 7.649
5.228 5.152 7.649
```

Computed properties:
space group = I-42d (122)
ΔE_f (raw) = -0.045 eV/atom
calculated total energy = -0.208 Ry/atom

=====

Record 15
DFT (PBE) results for a relaxed CdSb2Pd2 crystal.

```
CdSb2Pd2
1.0
-1.647 6.332 4.937
-2.885 -5.170 5.668
2.921 -0.233 1.274
Sb Pd Cd
4 4 2
Cartesian
-2.966 -2.195 6.398
-3.293 1.861 7.891
-1.567 3.356 4.207
-1.240 -0.699 2.714
-0.540 -2.559 4.776
-2.096 -0.705 8.683
-1.072 3.487 7.103
0.484 1.634 3.195
0.000 0.000 0.000
-2.266 0.581 5.302
```

Computed properties:
space group = P4/mbm (127)
ΔE_f (raw) = -0.136 eV/atom
calculated total energy = -0.297 Ry/atom

=====

Record 16
DFT (PBE) results for a relaxed CdSb4Pd15 crystal.

```
CdSb4Pd15
1.0
-1.380 2.898 2.478
-3.734 -1.561 -0.253
3.847 -11.785 15.926
Cd Sb Pd
1 4 15
Cartesian
0.000 0.000 0.000
0.744 -2.281 3.082
1.533 -4.696 6.346
2.314 -7.089 9.580
3.103 -9.505 12.844
-2.557 0.668 1.112
-1.773 -1.733 4.357
-1.014 -4.058 7.500
-0.253 -6.390 10.651
0.506 -8.716 13.793
-0.300 0.253 2.856
0.468 -2.097 6.031
1.234 -4.444 9.202
2.000 -6.790 12.373
2.767 -9.140 15.548
-1.477 -1.977 1.490
-0.709 -4.327 4.665
0.057 -6.673 7.836
0.822 -9.020 11.007
1.590 -11.370 14.183
```

Computed properties:
space group = P4/mmm (123)
ΔE_f (raw) = -0.373 eV/atom
calculated total energy = -0.378 Ry/atom

=====

Record 17
DFT (PBE) results for a relaxed Cd2Sb5Pd12 crystal.

```
Cd2Sb5Pd12
1.0
-2.792 -1.245 -4.750
-0.710 -6.054 5.363
-6.372 5.895 2.201
Cd Sb Pd
2 5 12
Cartesian
-2.116 -0.943 -3.599
-0.677 -0.302 -1.151
-5.448 -0.361 3.297
-2.428 -3.765 2.414
-3.186 2.947 1.100
-7.447 2.361 0.400
-4.427 -1.043 -0.483
-2.297 0.392 1.247
-6.275 1.470 5.023
-7.704 0.832 2.591
-3.332 -1.895 4.123
-4.718 -2.513 1.765
-6.250 -2.626 4.362
-3.625 1.222 -1.549
-6.542 0.491 -1.309
-5.156 1.109 1.049
-3.600 -2.874 -2.209
-2.170 -2.236 0.223
-7.578 -1.796 1.567
```

Computed properties:
space group = C2/m (12)
ΔE_f (raw) = -0.316 eV/atom
calculated total energy = -0.351 Ry/atom

=====

Record 18
DFT (PBE) results for a relaxed CdSbPd5 crystal.

```
CdSbPd5
1.0
4.586 -0.308 -0.726
1.163 4.447 -0.726
1.931 1.390 11.608
Cd Sb Pd
2 2 10
Cartesian
3.344 2.436 2.176
4.336 3.094 7.980
0.000 0.000 0.000
0.966 0.695 5.804
5.382 2.090 0.296
1.794 3.075 6.823
4.655 5.135 6.100
5.062 0.050 2.176
5.161 5.499 9.137
2.520 0.030 1.019
2.618 5.480 7.980
3.025 0.394 4.056
5.887 2.454 3.333
2.299 3.439 9.860
```

Computed properties:
space group = Cmcm (63)
ΔE_f (raw) = -0.331 eV/atom
calculated total energy = -0.350 Ry/atom

=====

Record 19
DFT (PBE) results for a relaxed CdSb2Pd2 crystal.

```
CdSb2Pd2
1.0
-5.510 4.366 2.231
-1.775 -4.905 5.214
2.390 1.756 2.465
Sb Pd Cd
4 4 2
Cartesian
-0.864 -1.661 5.037
-3.936 -0.353 7.083
-4.031 2.878 4.874
-0.959 1.570 2.828
-3.522 -2.647 5.300
-5.881 0.631 5.251
-3.763 2.109 2.146
-1.404 -1.170 2.195
0.000 0.000 0.000
-3.642 -0.269 3.723
```

Computed properties:
space group = P4/mbm (127)
ΔE_f (raw) = -0.228 eV/atom
calculated total energy = -0.304 Ry/atom

=====

Record 20
DFT (PBE) results for a relaxed CdSbPd3 crystal.

```
CdSbPd3
1.0
4.982 0.000 0.000
0.000 6.804 -0.001
0.000 -3.401 5.893
Cd Sb Pd
2 2 6
Cartesian
0.000 0.000 0.000
2.491 0.000 0.000
1.246 0.003 3.927
3.737 3.400 1.965
1.246 4.745 1.188
3.737 -1.342 4.704
1.246 3.402 3.515
3.737 0.001 2.377
1.246 2.058 1.189
3.737 1.345 4.703
```

Computed properties:
space group = P6_3/mmc (194)
ΔE_f (raw) = 0.047 eV/atom
calculated total energy = -0.300 Ry/atom